Entry 1:
First-principles (PBE) data for a relaxed structure of NdTlSb, as listed in OQMD.

The structure belongs to space group F-43m (No. 216); the cell edges are 7.362, 7.362 and 7.362 Å and the angles 90.00°, 90.00° and 90.00°. The distinct sites, in fractional coordinates, are Nd at (0.000, 0.000, 0.000), Tl at (0.250, 0.250, 0.250) and Sb at (0.000, 0.000, 0.500).

The uncorrected energy comes out at -0.1440 hartree per atom. The energy above the most stable polymorph in this dataset comes out at 0.136 eV per atom.

Entry 2:
First-principles (PBE) data for a relaxed structure of NdTmSb2, as listed in OQMD.

The structure belongs to space group P4/mmm (No. 123); the cell edges are 4.432, 4.432 and 6.268 Å and the angles 90.00°, 90.00° and 90.00°. The distinct sites, in fractional coordinates, are Nd at (0.000, 0.000, 0.000), Tm at (0.500, 0.500, 0.500), Sb at (0.000, 0.000, 0.500) and Sb at (0.500, 0.500, 0.000).

The uncorrected energy comes out at -0.2012 hartree per atom.

Entry 3:
First-principles (PBE) data for a relaxed structure of NdTmZr2Sb2, as listed in OQMD.

The structure belongs to space group I4mm (No. 107); the cell edges are 4.308, 4.308 and 16.784 Å and the angles 90.00°, 90.00° and 90.00°. The distinct sites, in fractional coordinates, are Nd at (0.000, 0.000, 0.000), Tm at (0.000, 0.000, 0.353), Zr at (0.000, 0.500, 0.180), Sb at (0.000, 0.000, 0.548) and Sb at (0.000, 0.000, 0.810).

The uncorrected energy comes out at -0.2405 hartree per atom.

Entry 4:
First-principles (PBE) data for a relaxed structure of NdUSb2, as listed in OQMD.

The structure belongs to space group P4/mmm (No. 123); the cell edges are 4.456, 4.456 and 6.288 Å and the angles 90.00°, 90.00° and 90.00°. The distinct sites, in fractional coordinates, are Nd at (0.000, 0.000, 0.000), U at (0.500, 0.500, 0.500), Sb at (0.000, 0.000, 0.500) and Sb at (0.500, 0.500, 0.000).

The uncorrected energy comes out at -0.2476 hartree per atom.

Entry 5:
First-principles (PBE) data for a relaxed structure of NdSbW, as listed in OQMD.

The structure belongs to space group F-43m (No. 216); the cell edges are 6.817, 6.817 and 6.817 Å and the angles 90.00°, 90.00° and 90.00°. The distinct sites, in fractional coordinates, are Nd at (0.000, 0.000, 0.000), Sb at (0.250, 0.250, 0.250) and W at (0.000, 0.000, 0.500).

The uncorrected energy comes out at -0.2454 hartree per atom. The energy above the most stable polymorph in this dataset comes out at 0.000 eV per atom.

Entry 6:
First-principles (PBE) data for a relaxed structure of Nd2ZnSb2, as listed in OQMD.

The structure belongs to space group Ibam (No. 72); the cell edges are 6.613, 13.163 and 6.533 Å and the angles 90.00°, 90.00° and 90.00°. The distinct sites, in fractional coordinates, are Nd at (0.215, 0.135, 0.000), Zn at (0.000, 0.500, 0.250) and Sb at (0.236, 0.375, 0.000).

The uncorrected energy comes out at -0.1687 hartree per atom.

Entry 7:
First-principles (PBE) data for a relaxed structure of NdZn2Sb2, as listed in OQMD.

The structure belongs to space group Pnma (No. 62); the cell edges are 9.919, 4.302 and 11.685 Å and the angles 90.00°, 90.00° and 90.00°. The distinct sites, in fractional coordinates, are Nd at (0.209, 0.250, 0.212), Zn at (0.047, 0.750, 0.956), Zn at (0.081, 0.750, 0.414), Sb at (0.047, 0.250, 0.792) and Sb at (0.192, 0.250, 0.506).

The uncorrected energy comes out at -0.1290 hartree per atom.

Entry 8:
First-principles (PBE) data for a relaxed structure of NdSc2, as listed in OQMD.

The structure belongs to space group P4/nmm (No. 129, origin choice 2); the cell edges are 4.557, 4.557 and 8.147 Å and the angles 90.00°, 90.00° and 90.00°. The distinct sites, in fractional coordinates, are Nd at (0.250, 0.250, 0.184), Sc at (0.250, 0.250, 0.780) and Sc at (0.250, 0.750, 0.500).

The uncorrected energy comes out at -0.2046 hartree per atom. The energy above the most stable polymorph in this dataset comes out at 0.189 eV per atom. The value obtained for the formation energy is 0.238 eV per atom.

Entry 9:
First-principles (PBE) data for a relaxed structure of NdSc2, as listed in OQMD.

The structure belongs to space group C2/m (No. 12); the cell edges are 11.953, 3.378 and 8.979 Å and the angles 90.00°, 116.77° and 90.00°. The distinct sites, in fractional coordinates, are Nd at (0.142, 0.000, 0.148), Sc at (0.073, 0.500, 0.781) and Sc at (0.139, 0.000, 0.520).

The uncorrected energy comes out at -0.2098 hartree per atom. The energy above the most stable polymorph in this dataset comes out at 0.049 eV per atom. The value obtained for the formation energy is 0.098 eV per atom.

Entry 10:
First-principles (PBE) data for a relaxed structure of Nd2Sc, as listed in OQMD.

The structure belongs to space group Fd-3m (No. 227, origin choice 2); the cell edges are 9.192, 9.192 and 9.192 Å and the angles 90.00°, 90.00° and 90.00°. The distinct sites, in fractional coordinates, are Nd at (0.000, 0.000, 0.000) and Sc at (0.125, 0.125, 0.625).

The uncorrected energy comes out at -0.1805 hartree per atom. The energy above the most stable polymorph in this dataset comes out at 0.000 eV per atom. The value obtained for the formation energy is 0.373 eV per atom.

Entry 11:
First-principles (PBE) data for a relaxed structure of NdSc2, as listed in OQMD.

The structure belongs to space group C2/m (No. 12); the cell edges are 5.859, 3.442 and 8.196 Å and the angles 90.00°, 104.33° and 90.00°. The distinct sites, in fractional coordinates, are Nd at (0.000, 0.000, 0.000) and Sc at (0.226, 0.000, 0.656).

The uncorrected energy comes out at -0.2116 hartree per atom. The energy above the most stable polymorph in this dataset comes out at 0.000 eV per atom. The value obtained for the formation energy is 0.049 eV per atom.

Entry 12:
First-principles (PBE) data for a relaxed structure of NdSc2, as listed in OQMD.

The structure belongs to space group Fd-3m (No. 227, origin choice 2); the cell edges are 8.867, 8.867 and 8.867 Å and the angles 90.00°, 90.00° and 90.00°. The distinct sites, in fractional coordinates, are Nd at (0.125, 0.125, 0.125) and Sc at (0.000, 0.000, 0.500).

The uncorrected energy comes out at -0.2048 hartree per atom. The energy above the most stable polymorph in this dataset comes out at 0.185 eV per atom. The value obtained for the formation energy is 0.234 eV per atom.